First-principles (PBE-GGA) data for an optimized crystal structure of CsSnS2O8, as listed in Alexandria via LeMat-Bulk.

```
data_CsSnS2O8
_symmetry_space_group_name_H-M 'R -3 m'
_symmetry_Int_Tables_number 166
_symmetry_space_group_name_Hall '-R 3 2"'
_cell_length_a 5.5533
_cell_length_b 5.5533
_cell_length_c 21.1410
_cell_angle_alpha 90.00
_cell_angle_beta 90.00
_cell_angle_gamma 120.00
loop_
_atom_site_label
_atom_site_type_symbol
_atom_site_fract_x
_atom_site_fract_y
_atom_site_fract_z
Cs1 Cs 0.0000 0.0000 0.0000
Sn1 Sn 0.0000 0.0000 0.5000
S1 S 0.0000 0.0000 0.2138
O1 O 0.0000 0.0000 0.1452
O2 O 0.0395 0.5197 0.9062
```

Summary:
formation energy from raw total energies	-1.48	eV/atom
crystal system	trigonal
magnetization	0.00	μB/atom